The following is a DFT calculation (PBE) of a geometry-optimized Na3CoIr3S8 structure.

Cell lengths 7.6139, 7.6139, 7.6139 Å; angles 56.23, 56.23, 56.23 degrees
With the nearest neighbours (Å) after each atom.
Sites, in units of the cell vectors:
Na 0.0000 0.5000 0.5000  6 S 2.89
Na 0.5000 0.0000 0.5000  6 S 2.89
Na 0.5000 0.5000 0.0000  6 S 2.89
Co 0.5000 0.5000 0.5000  6 S 2.31
Ir 0.0000 0.0000 0.5000  6 S 2.38-2.40
Ir 0.0000 0.5000 0.0000  6 S 2.38-2.40
Ir 0.5000 0.0000 0.0000  6 S 2.38-2.40
S 0.2281 0.2281 0.2281  3 Ir 2.38
S 0.2372 0.7214 0.7214  1 Co 2.31, 2 Ir 2.40
S 0.2786 0.2786 0.7628  1 Co 2.31, 2 Ir 2.40
S 0.2786 0.7628 0.2786  1 Co 2.31, 2 Ir 2.40
S 0.7214 0.2372 0.7214  1 Co 2.31, 2 Ir 2.40
S 0.7214 0.7214 0.2372  1 Co 2.31, 2 Ir 2.40
S 0.7628 0.2786 0.2786  1 Co 2.31, 2 Ir 2.40
S 0.7719 0.7719 0.7719  3 Ir 2.38

As for the size of the total moment: 0.0 μB per formula unit. The calculation puts the formation energy from raw total energies at -0.5938 eV/atom. As for the crystal system: trigonal. The calculation puts the density of states at the Fermi level at 0.671 states/eV/atom.



The following is a DFT calculation (PBE) of a geometry-optimized NaScCoIr2 structure.

Cell lengths 4.5608, 4.5608, 4.4646 Å; angles 90.00, 90.00, 90.00 degrees
With the nearest neighbours (Å) after each atom.
Sites, in units of the cell vectors:
Na 0.0000 0.0000 0.0000  2 Co 2.23
Sc 0.5000 0.5000 0.0000  8 Ir 3.19, 4 Na 3.22
Co 0.0000 0.0000 0.5000  2 Na 2.23, 4 Ir 2.28
Ir 0.0000 0.5000 0.5000  2 Co 2.28
Ir 0.5000 0.0000 0.5000  2 Co 2.28

As for the size of the total moment: 2.2 μB per formula unit. Its formation energy is 56.8 kJ per mole of atoms. As for the crystal system: tetragonal. The calculation puts the density of states at the Fermi level at 0.861 states/eV/atom.



The following is a DFT calculation (PBE) of a geometry-optimized Na3CoIr3Se8 structure.

Cell lengths 8.0163, 8.0163, 8.0163 Å; angles 56.05, 56.05, 56.05 degrees
With the nearest neighbours (Å) after each atom.
Sites, in units of the cell vectors:
Na 0.0000 0.5000 0.5000  6 Se 3.03
Na 0.5000 0.0000 0.5000  6 Se 3.03
Na 0.5000 0.5000 0.0000  6 Se 3.03
Co 0.5000 0.5000 0.5000  6 Se 2.44
Ir 0.0000 0.0000 0.5000  6 Se 2.51-2.53
Ir 0.0000 0.5000 0.0000  6 Se 2.51-2.53
Ir 0.5000 0.0000 0.0000  6 Se 2.51-2.53
Se 0.2287 0.2287 0.2287  3 Ir 2.51
Se 0.2375 0.7223 0.7223  1 Co 2.44, 2 Ir 2.53
Se 0.2777 0.2777 0.7625  1 Co 2.44, 2 Ir 2.53
Se 0.2777 0.7625 0.2777  1 Co 2.44, 2 Ir 2.53
Se 0.7223 0.2375 0.7223  1 Co 2.44, 2 Ir 2.53
Se 0.7223 0.7223 0.2375  1 Co 2.44, 2 Ir 2.53
Se 0.7625 0.2777 0.2777  1 Co 2.44, 2 Ir 2.53
Se 0.7713 0.7713 0.7713  3 Ir 2.51

As for the size of the total moment: 0.0 μB per formula unit. The calculation puts the formation energy from raw total energies at -0.5033 eV/atom. As for the crystal system: trigonal. The calculation puts the density of states at the Fermi level at 0.750 states/eV/atom.



The following is a DFT calculation (PBE) of a geometry-optimized NaCoIrSe3 structure.

Cell lengths 7.8449, 3.7663, 8.8938 Å; angles 90.00, 109.28, 90.00 degrees
With the nearest neighbours (Å) after each atom.
Sites, in units of the cell vectors:
Na 0.2201 0.2500 0.2588  7 Se 3.09-3.25
Na 0.7799 0.7500 0.7412  7 Se 3.09-3.25
Co 0.0869 0.2500 0.6043  4 Se 2.33-2.35
Co 0.9131 0.7500 0.3957  4 Se 2.33-2.35
Ir 0.3153 0.7500 0.8393  6 Se 2.53-2.56
Ir 0.6847 0.2500 0.1607  6 Se 2.53-2.56
Se 0.1120 0.2500 0.8727  1 Co 2.33, 2 Ir 2.55
Se 0.2252 0.7500 0.5353  3 Co 2.35, 1 Ir 2.56
Se 0.4620 0.7500 0.1399  3 Ir 2.53-2.54
Se 0.5380 0.2500 0.8601  3 Ir 2.53-2.54
Se 0.7748 0.2500 0.4647  3 Co 2.35, 1 Ir 2.56
Se 0.8880 0.7500 0.1273  1 Co 2.33, 2 Ir 2.55

As for the size of the total moment: 1.5 μB per formula unit. The calculation puts the formation energy from raw total energies at -0.4409 eV/atom. As for the crystal system: monoclinic. The calculation puts the density of states at the Fermi level at 0.439 states/eV/atom.